The following is a DFT calculation (GGA-PBE) of a relaxed TlP crystal.

Space-group type: P-3m1 (164)
Energy of formation in eV/atom: 0.27
Density in kg/m³: 7698

```
TlP
1.0
5.306 0.000 0.000
-2.653 4.595 0.000
0.000 0.000 12.494
Tl P
6 6
direct
0.000 0.000 0.162
0.000 0.000 0.838
0.333 0.667 0.064
0.333 0.667 0.355
0.667 0.333 0.645
0.667 0.333 0.936
0.000 0.000 0.418
0.000 0.000 0.582
0.333 0.667 0.627
0.333 0.667 0.795
0.667 0.333 0.205
0.667 0.333 0.373
```